Entry from Alexandria: an optimized crystal structure of FeCuO (PBE with a Hubbard U).

Computed properties:
The total energy is -5.59 eV per atom. The mass density is 6.54 g cm⁻³.

abc: 2.9792 3.0863 7.4722
angles: 90.00 90.00 90.00
With the nearest neighbours (Å) after each atom.
Space group Pmmn (No. 59, origin choice 2)
One atom of each set of equivalent atoms:
Fe  0.2500  0.2500  0.1632 (multiplicity 2)  5 O 2.15-2.25
Cu  0.2500  0.2500  0.5793 (multiplicity 2)  1 O 2.11
O  0.2500  0.2500  0.8619 (multiplicity 2)  1 Cu 2.11, 5 Fe 2.15-2.25